The following is a GGA-PBEsol calculation of a relaxed structure of KHg2Au, from the Alexandria database.

Calculated values
Density ... 9.85 g/cm³
Polymorph energy (0 for the lowest one) ... 0.0846 eV/atom
Total energy ... -1.6423 eV per atom
Formation energy ... -0.09 eV/atom
Fermi-level density of states ... 0.8 states/eV/f.u.

Lattice parameters (Å, degrees): 4.4494 4.2271 6.1290 90.00 111.19 90.00
Space group Pm (No. 6)
One atom of each set of equivalent atoms:
1 K 0.0000 0.0000 0.0000 [1 per cell]
2 Hg 0.3090 0.5000 0.6175 [1 per cell]
3 Hg 0.7242 0.0000 0.4499 [1 per cell]
4 Au 0.5621 0.5000 0.1245 [1 per cell]

***

The following is a GGA-PBEsol calculation of a relaxed structure of Li2CaZn, from the Alexandria database.

Calculated values
Density ... 2.33 g/cm³
Total energy ... -1.9352 eV per atom
Formation energy ... -0.02 eV/atom
Fermi-level density of states ... 2.6 states/eV/f.u.

Lattice parameters (Å, degrees): 4.5411 4.5411 14.2973 90.00 90.00 120.00
Space group R-3m (No. 166, hexagonal axes)
One atom of each set of equivalent atoms:
1 Li 0.0000 0.0000 0.2172 [6 per cell]
2 Ca 0.0000 0.0000 0.0000 [3 per cell]
3 Zn 0.0000 0.0000 0.5000 [3 per cell]

***

The following is a GGA-PBEsol calculation of a relaxed structure of AlCuCl, from the Alexandria database.

Calculated values
Density ... 4.31 g/cm³
Polymorph energy (0 for the lowest one) ... 0.0000 eV/atom
Total energy ... -3.5625 eV per atom
ΔE_f (raw) ... -0.08 eV per atom
Fermi-level density of states ... 0.7 states/eV/f.u.

Lattice parameters (Å, degrees): 3.0397 3.0397 10.4959 90.00 90.00 90.00
Space group I4mm (No. 107)
One atom of each set of equivalent atoms:
1 Al 0.0000 0.0000 0.0000 [2 per cell]
2 Cu 0.0000 0.0000 0.3797 [2 per cell]
3 Cl 0.0000 0.0000 0.6791 [2 per cell]

***

The following is a GGA-PBEsol calculation of a relaxed structure of InSi2Au, from the Alexandria database.

Calculated values
Density ... 8.52 g/cm³
Total energy ... -4.2737 eV per atom
ΔE_f (raw) ... 0.33 eV per atom
Fermi-level density of states ... 1.4 states/eV/f.u.

Lattice parameters (Å, degrees): 4.3109 4.3109 7.7225 90.00 90.00 90.00
Space group I-4m2 (No. 119)
One atom of each set of equivalent atoms:
1 In 0.0000 0.0000 0.0000 [2 per cell]
2 Si 0.0000 0.0000 0.5000 [2 per cell]
3 Si 0.0000 0.5000 0.2500 [2 per cell]
4 Au 0.0000 0.5000 0.7500 [2 per cell]

***

The following is a GGA-PBEsol calculation of a relaxed structure of AlFePt2, from the Alexandria database.

Calculated values
Density ... 14.23 g/cm³
Total energy ... -7.3122 eV per atom
Formation energy ... -0.57 eV/atom
Fermi-level density of states ... 2.4 states/eV/f.u.

Lattice parameters (Å, degrees): 2.7386 4.4033 4.5777 90.00 90.00 90.00
Space group Pmm2 (No. 25)
One atom of each set of equivalent atoms:
1 Al 0.0000 0.0000 0.0000 [1 per cell]
2 Fe 0.0000 0.5000 0.6148 [1 per cell]
3 Pt 0.5000 0.0000 0.5030 [1 per cell]
4 Pt 0.5000 0.5000 0.1118 [1 per cell]

***

The following is a GGA-PBEsol calculation of a relaxed structure of Li5Ir, from the Alexandria database.

Calculated values
Density ... 4.21 g/cm³
Polymorph energy (0 for the lowest one) ... 0.0000 eV/atom
Total energy ... -3.3044 eV per atom
Formation energy ... -0.03 eV/atom
Fermi-level density of states ... 2.0 states/eV/f.u.

Lattice parameters (Å, degrees): 10.4734 2.5294 6.9940 90.00 105.10 90.00
Space group Cm (No. 8)
One atom of each set of equivalent atoms:
1 Li 0.0000 0.0000 0.0000 [2 per cell]
2 Li 0.0657 0.0000 0.6593 [2 per cell]
3 Li 0.1709 0.5000 0.3198 [2 per cell]
4 Li 0.3100 0.0000 0.6993 [2 per cell]
5 Li 0.3932 0.0000 0.2910 [2 per cell]
6 Ir 0.2292 0.5000 0.9801 [2 per cell]

***

The following is a GGA-PBEsol calculation of a relaxed structure of Na2TePtSe, from the Alexandria database.

Calculated values
Density ... 5.65 g/cm³
Total energy ... -3.5823 eV per atom
ΔE_f (raw) ... -0.15 eV per atom
Fermi-level density of states ... 7.1 states/eV/f.u.

Lattice parameters (Å, degrees): 5.3319 5.3319 4.6249 90.00 90.00 90.00
Space group P4/mmm (No. 123)
One atom of each set of equivalent atoms:
1 Na 0.0000 0.5000 0.0000 [2 per cell]
2 Te 0.0000 0.0000 0.5000 [1 per cell]
3 Pt 0.5000 0.5000 0.5000 [1 per cell]
4 Se 0.5000 0.5000 0.0000 [1 per cell]

***

The following is a GGA-PBEsol calculation of a relaxed structure of SrSi6Pd6, from the Alexandria database.

Calculated values
Density ... 7.42 g/cm³
Total energy ... -6.2528 eV per atom
ΔE_f (raw) ... -0.71 eV per atom
Fermi-level density of states ... 3.6 states/eV/f.u.

Lattice parameters (Å, degrees): 7.9872 8.2450 12.1660 90.00 90.00 90.00
Space group Ibam (No. 72)
One atom of each set of equivalent atoms:
1 Sr 0.0000 0.0000 0.2500 [4 per cell]
2 Si 0.0661 0.2354 0.0000 [8 per cell]
3 Si 0.1633 0.3451 0.3822 [16 per cell]
4 Pd 0.1385 0.3588 0.1808 [16 per cell]
5 Pd 0.1813 0.0358 0.5000 [8 per cell]

***

The following is a GGA-PBEsol calculation of a relaxed structure of Sr10Cu5Mo4WO30, from the Alexandria database.

Calculated values
Density ... 6.12 g/cm³
Total energy ... -7.3846 eV per atom
ΔE_f (raw) ... -2.22 eV per atom
Fermi-level density of states ... 9.1 states/eV/f.u.

Lattice parameters (Å, degrees): 7.5500 8.5290 19.2485 90.00 101.31 90.00
Space group C2/m (No. 12)
One atom of each set of equivalent atoms:
1 Sr 0.0000 0.2502 0.0000 [4 per cell]
2 Sr 0.1000 0.2498 0.1997 [8 per cell]
3 Sr 0.1998 0.2498 0.3992 [8 per cell]
4 Cu 0.0000 0.0000 0.5000 [2 per cell]
5 Cu 0.1001 0.5000 0.7007 [4 per cell]
6 Cu 0.2000 0.0000 0.9001 [4 per cell]
7 Mo 0.1003 0.0000 0.7004 [4 per cell]
8 Mo 0.2001 0.5000 0.9002 [4 per cell]
9 W 0.0000 0.5000 0.5000 [2 per cell]
10 O 0.0000 0.2741 0.5000 [4 per cell]
11 O 0.0023 0.5000 0.4004 [4 per cell]
12 O 0.0417 0.0000 0.0794 [4 per cell]
13 O 0.0582 0.5000 0.1202 [4 per cell]
14 O 0.0985 0.0000 0.7997 [4 per cell]
15 O 0.1000 0.2249 0.7005 [8 per cell]
16 O 0.1017 0.0000 0.6014 [4 per cell]
17 O 0.1418 0.5000 0.2790 [4 per cell]
18 O 0.1580 0.0000 0.3198 [4 per cell]
19 O 0.1986 0.5000 0.9994 [4 per cell]
20 O 0.2000 0.2753 0.9003 [8 per cell]
21 O 0.2017 0.5000 0.8012 [4 per cell]
22 O 0.2409 0.0000 0.4790 [4 per cell]

***

The following is a GGA-PBEsol calculation of a relaxed structure of CdH2RhBr, from the Alexandria database.

Calculated values
Density ... 6.94 g/cm³
Total energy ... -2.8967 eV per atom
Fermi-level density of states ... 2.0 states/eV/f.u.

Lattice parameters (Å, degrees): 3.7360 3.7360 5.0978 90.00 90.00 90.00
Space group P4/mmm (No. 123)
One atom of each set of equivalent atoms:
1 Cd 0.0000 0.0000 0.0000 [1 per cell]
2 H 0.0000 0.5000 0.5000 [2 per cell]
3 Rh 0.5000 0.5000 0.0000 [1 per cell]
4 Br 0.5000 0.5000 0.5000 [1 per cell]

***

The following is a GGA-PBEsol calculation of a relaxed structure of NaLiZnS2, from the Alexandria database.

Calculated values
Density ... 2.95 g/cm³
Total energy ... -3.8214 eV per atom
ΔE_f (raw) ... -1.08 eV per atom
Fermi-level density of states ... 0.0 states/eV/f.u.

Lattice parameters (Å, degrees): 3.9205 3.9205 6.7405 90.00 90.00 120.00
Space group P3m1 (No. 156)
One atom of each set of equivalent atoms:
1 Na 0.0000 0.0000 0.0000 [1 per cell]
2 Li 0.6667 0.3333 0.6667 [1 per cell]
3 Zn 0.3333 0.6667 0.4129 [1 per cell]
4 S 0.3333 0.6667 0.7541 [1 per cell]
5 S 0.6667 0.3333 0.2906 [1 per cell]

***

The following is a GGA-PBEsol calculation of a relaxed structure of Ba3AlF, from the Alexandria database.

Calculated values
Density ... 4.70 g/cm³
Total energy ... -3.5921 eV per atom
ΔE_f (raw) ... -1.10 eV per atom
Fermi-level density of states ... 4.2 states/eV/f.u.

Lattice parameters (Å, degrees): 5.4496 5.4496 5.4496 90.00 90.00 90.00
Space group Pm-3m (No. 221)
One atom of each set of equivalent atoms:
1 Ba 0.0000 0.0000 0.5000 [3 per cell]
2 Al 0.5000 0.5000 0.5000 [1 per cell]
3 F 0.0000 0.0000 0.0000 [1 per cell]

***

The following is a GGA-PBEsol calculation of a relaxed structure of LiVF6, from the Alexandria database.

Calculated values
Density ... 2.95 g/cm³
Total energy ... -5.7219 eV per atom
ΔE_f (raw) ... -2.83 eV per atom
Fermi-level density of states ... 0.0 states/eV/f.u.

Lattice parameters (Å, degrees): 9.4644 8.5364 4.7975 90.00 90.00 90.00
Space group Pna2_1 (No. 33)
One atom of each set of equivalent atoms:
1 Li 0.1189 0.1058 0.0000 [4 per cell]
2 V 0.1261 0.7466 0.0072 [4 per cell]
3 F 0.0042 0.2430 0.2362 [4 per cell]
4 F 0.0282 0.6046 0.1786 [4 per cell]
5 F 0.0286 0.8998 0.2013 [4 per cell]
6 F 0.2125 0.9130 0.8506 [4 per cell]
7 F 0.2286 0.6154 0.8070 [4 per cell]
8 F 0.2429 0.2442 0.7759 [4 per cell]

***

The following is a GGA-PBEsol calculation of a relaxed structure of CeIn3, from the Alexandria database.

Calculated values
Density ... 8.22 g/cm³
Total energy ... -4.3133 eV per atom
Formation energy ... -0.43 eV/atom
Fermi-level density of states ... 5.8 states/eV/f.u.

Lattice parameters (Å, degrees): 4.6090 4.6090 4.6090 90.00 90.00 90.00
Space group Pm-3m (No. 221)
One atom of each set of equivalent atoms:
1 Ce 0.0000 0.0000 0.0000 [1 per cell]
2 In 0.0000 0.5000 0.5000 [3 per cell]

***

The following is a GGA-PBEsol calculation of a relaxed structure of CaBe2Ru, from the Alexandria database.

Calculated values
Density ... 4.69 g/cm³
Total energy ... -4.5371 eV per atom
Formation energy ... 0.54 eV/atom
Fermi-level density of states ... 3.2 states/eV/f.u.

Lattice parameters (Å, degrees): 3.8142 3.8142 7.7445 90.00 90.00 90.00
Space group I-4m2 (No. 119)
One atom of each set of equivalent atoms:
1 Ca 0.0000 0.0000 0.0000 [2 per cell]
2 Be 0.0000 0.0000 0.5000 [2 per cell]
3 Be 0.0000 0.5000 0.7500 [2 per cell]
4 Ru 0.0000 0.5000 0.2500 [2 per cell]

***

The following is a GGA-PBEsol calculation of a relaxed structure of NdMg2Ni9, from the Alexandria database.

Calculated values
Density ... 7.72 g/cm³
Total energy ... -5.5739 eV per atom
Formation energy ... -0.24 eV/atom
Fermi-level density of states ... 14.3 states/eV/f.u.

Lattice parameters (Å, degrees): 4.8043 4.8043 23.2878 90.00 90.00 120.00
Space group R-3m (No. 166, hexagonal axes)
One atom of each set of equivalent atoms:
1 Nd 0.0000 0.0000 0.0000 [3 per cell]
2 Mg 0.0000 0.0000 0.1444 [6 per cell]
3 Ni 0.0000 0.0000 0.3335 [6 per cell]
4 Ni 0.0000 0.0000 0.5000 [3 per cell]
5 Ni 0.0024 0.5012 0.9150 [18 per cell]

***

The following is a GGA-PBEsol calculation of a relaxed structure of CrSCl2O, from the Alexandria database.

Calculated values
Density ... 3.50 g/cm³
Total energy ... -4.1971 eV per atom
ΔE_f (raw) ... 0.58 eV per atom
Fermi-level density of states ... 3.9 states/eV/f.u.

Lattice parameters (Å, degrees): 4.5464 4.5464 3.9208 90.00 90.00 90.00
Space group P4/mmm (No. 123)
One atom of each set of equivalent atoms:
1 Cr 0.0000 0.0000 0.0000 [1 per cell]
2 S 0.5000 0.5000 0.0000 [1 per cell]
3 Cl 0.0000 0.5000 0.5000 [2 per cell]
4 O 0.5000 0.5000 0.5000 [1 per cell]

***

The following is a GGA-PBEsol calculation of a relaxed structure of TaTcMo4, from the Alexandria database.

Calculated values
Density ... 11.47 g/cm³
Total energy ... -11.5402 eV per atom
Formation energy ... 0.27 eV/atom
Fermi-level density of states ... 9.8 states/eV/f.u.

Lattice parameters (Å, degrees): 7.2672 7.2672 7.2672 90.00 90.00 90.00
Space group F-43m (No. 216)
One atom of each set of equivalent atoms:
1 Ta 0.0000 0.0000 0.0000 [4 per cell]
2 Tc 0.2500 0.2500 0.2500 [4 per cell]
3 Mo 0.1258 0.1258 0.6258 [16 per cell]

***

The following is a GGA-PBEsol calculation of a relaxed structure of GaBi3B, from the Alexandria database.

Calculated values
Density ... 9.27 g/cm³
Total energy ... -3.9502 eV per atom
Formation energy ... 0.69 eV/atom
Fermi-level density of states ... 2.5 states/eV/f.u.

Lattice parameters (Å, degrees): 5.0238 5.0238 5.0238 90.00 90.00 90.00
Space group Pm-3m (No. 221)
One atom of each set of equivalent atoms:
1 Ga 0.0000 0.0000 0.0000 [1 per cell]
2 Bi 0.0000 0.5000 0.5000 [3 per cell]
3 B 0.5000 0.5000 0.5000 [1 per cell]

***

The following is a GGA-PBEsol calculation of a relaxed structure of FeIrRu2, from the Alexandria database.

Calculated values
Density ... 14.55 g/cm³
Total energy ... -9.7181 eV per atom
Formation energy ... 0.06 eV/atom
Fermi-level density of states ... 4.7 states/eV/f.u.

Lattice parameters (Å, degrees): 2.6455 2.6455 7.3393 90.00 90.00 90.00
Space group P4mm (No. 99)
One atom of each set of equivalent atoms:
1 Fe 0.0000 0.0000 0.0000 [1 per cell]
2 Ir 0.5000 0.5000 0.2420 [1 per cell]
3 Ru 0.0000 0.0000 0.5049 [1 per cell]
4 Ru 0.5000 0.5000 0.7618 [1 per cell]